# NdY3Sc7

An optimized crystal structure of NdY3Sc7 (GGA-PBE, Alexandria via LeMat-Bulk).

```
NdY3Sc7
1.0
-0.697 1.563 5.192
-3.875 -6.910 -1.331
6.406 -4.813 -0.583
Nd Y Sc
1 3 7
Direct
0.500 0.500 0.500 Nd
0.000 0.791 0.209 Y
0.500 0.000 0.000 Y
0.000 0.209 0.791 Y
0.210 0.209 0.209 Sc
0.281 0.970 0.591 Sc
0.719 0.409 0.030 Sc
0.281 0.591 0.970 Sc
0.000 0.500 0.500 Sc
0.719 0.030 0.409 Sc
0.790 0.791 0.791 Sc
```

Calculated values
* DFT total energy: -65.26 eV per formula unit
* space group: C2/m

***

# Nd12Y3Sc

An optimized crystal structure of Nd12Y3Sc (GGA-PBE, Alexandria via LeMat-Bulk).

```
Nd12Y3Sc
1.0
5.138 0.000 0.000
0.000 5.138 0.000
0.000 0.000 20.534
Nd Y Sc
12 3 1
Direct
0.500 0.500 0.000 Nd
0.500 0.500 0.247 Nd
0.500 0.500 0.500 Nd
0.500 0.500 0.753 Nd
0.500 0.000 0.121 Nd
0.500 0.000 0.374 Nd
0.500 0.000 0.626 Nd
0.500 0.000 0.879 Nd
0.000 0.500 0.121 Nd
0.000 0.500 0.374 Nd
0.000 0.500 0.626 Nd
0.000 0.500 0.879 Nd
0.000 0.000 0.247 Y
0.000 0.000 0.500 Y
0.000 0.000 0.753 Y
0.000 0.000 0.000 Sc
```

Calculated values
* DFT total energy: -82.63 eV per formula unit
* space group: P4/mmm

***

# Nd6Y3Sc

An optimized crystal structure of Nd6Y3Sc (GGA-PBE, Alexandria via LeMat-Bulk).

```
Nd6Y3Sc
1.0
6.239 0.000 0.000
0.000 11.048 -1.672
0.000 -4.096 10.397
Nd Y Sc
12 6 2
Direct
0.037 0.709 0.622 Nd
0.537 0.622 0.709 Nd
0.360 0.525 0.946 Nd
0.860 0.946 0.525 Nd
0.433 0.954 0.046 Nd
0.646 0.277 0.723 Nd
0.146 0.723 0.277 Nd
0.933 0.046 0.954 Nd
0.360 0.054 0.475 Nd
0.860 0.475 0.054 Nd
0.037 0.378 0.291 Nd
0.537 0.291 0.378 Nd
0.460 0.946 0.724 Y
0.960 0.724 0.946 Y
0.069 0.385 0.615 Y
0.569 0.615 0.385 Y
0.960 0.054 0.276 Y
0.460 0.276 0.054 Y
0.124 0.204 0.796 Sc
0.624 0.796 0.204 Sc
```

Calculated values
* DFT total energy: -53.02 eV per formula unit
* space group: Cmc2_1

***

# NdY12Sc2

An optimized crystal structure of NdY12Sc2 (GGA-PBE, Alexandria via LeMat-Bulk).

```
NdY12Sc2
1.0
-3.070 0.471 -5.592
5.871 -2.527 -0.259
-11.472 -22.509 6.577
Nd Y Sc
2 24 4
Direct
0.500 0.000 0.996 Nd
0.000 0.500 0.004 Nd
0.649 0.620 0.798 Y
0.120 0.149 0.798 Y
0.960 0.955 0.927 Y
0.427 0.927 0.865 Y
0.015 0.872 0.332 Y
0.073 0.573 0.135 Y
0.836 0.336 0.654 Y
0.372 0.515 0.332 Y
0.455 0.460 0.927 Y
0.540 0.545 0.073 Y
0.114 0.274 0.553 Y
0.664 0.164 0.346 Y
0.128 0.985 0.668 Y
0.386 0.226 0.447 Y
0.045 0.040 0.073 Y
0.726 0.886 0.447 Y
0.774 0.614 0.553 Y
0.851 0.880 0.202 Y
0.430 0.930 0.559 Y
0.485 0.628 0.668 Y
0.926 0.426 0.874 Y
0.380 0.351 0.202 Y
0.070 0.570 0.441 Y
0.574 0.074 0.126 Y
0.373 0.873 0.241 Sc
0.899 0.399 0.247 Sc
0.127 0.627 0.759 Sc
0.601 0.101 0.753 Sc
```

Calculated values
* DFT total energy: -93.68 eV per formula unit
* space group: C2/m

***

# Nd2Y3Sc

An optimized crystal structure of Nd2Y3Sc (GGA-PBE, Alexandria via LeMat-Bulk).

```
Nd2Y3Sc
1.0
-1.565 -0.648 2.908
-0.603 -6.349 -1.739
15.351 -3.506 7.478
Nd Y Sc
4 6 2
Direct
0.500 0.749 0.148 Nd
0.000 0.249 0.352 Nd
0.000 0.751 0.648 Nd
0.500 0.251 0.852 Nd
0.000 0.000 0.000 Y
0.500 0.500 0.500 Y
0.500 0.754 0.823 Y
0.500 0.246 0.177 Y
0.000 0.254 0.677 Y
0.000 0.746 0.323 Y
0.000 0.000 0.500 Sc
0.500 0.500 0.000 Sc
```

Calculated values
* DFT total energy: -33.71 eV per formula unit
* space group: Pnnm

***

# Nd6YSc

An optimized crystal structure of Nd6YSc (GGA-PBE, Alexandria via LeMat-Bulk).

```
Nd6YSc
1.0
-3.272 2.421 3.086
-3.904 -1.620 -2.868
-0.763 -8.404 5.783
Nd Y Sc
6 1 1
Direct
0.500 0.500 0.000 Nd
0.500 0.500 0.500 Nd
0.500 0.000 0.255 Nd
0.500 0.000 0.745 Nd
0.000 0.500 0.255 Nd
0.000 0.500 0.745 Nd
0.000 0.000 0.000 Y
0.000 0.000 0.500 Sc
```

Calculated values
* DFT total energy: -41.19 eV per formula unit
* space group: P4/mmm

***

# Nd5Y5Sc2

An optimized crystal structure of Nd5Y5Sc2 (GGA-PBE, Alexandria via LeMat-Bulk).

```
Nd5Y5Sc2
1.0
0.239 -1.663 4.778
2.122 -10.350 -1.024
6.972 2.373 3.161
Nd Y Sc
5 5 2
Direct
0.662 0.257 0.418 Nd
0.991 0.260 0.759 Nd
0.009 0.740 0.241 Nd
0.338 0.743 0.582 Nd
0.000 0.000 0.000 Nd
0.000 0.500 0.500 Y
0.672 0.740 0.916 Y
0.332 0.001 0.334 Y
0.668 0.999 0.666 Y
0.328 0.260 0.084 Y
0.330 0.500 0.839 Sc
0.670 0.500 0.161 Sc
```

Calculated values
* DFT total energy: -68.38 eV per formula unit
* space group: C2/m

***

# NdY6Sc3

An optimized crystal structure of NdY6Sc3 (GGA-PBE, Alexandria via LeMat-Bulk).

```
NdY6Sc3
1.0
8.549 0.000 4.537
3.071 7.978 4.537
2.185 1.501 6.205
Nd Y Sc
1 6 3
Direct
0.900 0.900 0.301 Nd
0.901 0.559 0.298 Y
0.241 0.901 0.298 Y
0.559 0.241 0.298 Y
0.066 0.401 0.798 Y
0.735 0.066 0.798 Y
0.401 0.735 0.798 Y
0.399 0.399 0.802 Sc
0.639 0.639 0.083 Sc
0.159 0.159 0.523 Sc
```

Calculated values
* DFT total energy: -60.83 eV per formula unit
* space group: R3

***

Repeat the fifth record exactly.
# Nd2Y3Sc

An optimized crystal structure of Nd2Y3Sc (GGA-PBE, Alexandria via LeMat-Bulk).

```
Nd2Y3Sc
1.0
-1.565 -0.648 2.908
-0.603 -6.349 -1.739
15.351 -3.506 7.478
Nd Y Sc
4 6 2
Direct
0.500 0.749 0.148 Nd
0.000 0.249 0.352 Nd
0.000 0.751 0.648 Nd
0.500 0.251 0.852 Nd
0.000 0.000 0.000 Y
0.500 0.500 0.500 Y
0.500 0.754 0.823 Y
0.500 0.246 0.177 Y
0.000 0.254 0.677 Y
0.000 0.746 0.323 Y
0.000 0.000 0.500 Sc
0.500 0.500 0.000 Sc
```

Calculated values
* DFT total energy: -33.71 eV per formula unit
* space group: Pnnm